No. 1
Computed, not measured: Ba3ZnCu2O6 after structural relaxation at the GGA-PBE level of DFT.

a = 5.986 Å, b = 5.986 Å, c = 6.861 Å
α = 90.00°, β = 90.00°, γ = 120.00°
Positions (direct):
Ba (0.000, 0.000, 0.000)
Ba (0.333, 0.667, 0.654)
Ba (0.667, 0.333, 0.346)
Zn (0.000, 0.000, 0.500)
Cu (0.333, 0.667, 0.223)
Cu (0.667, 0.333, 0.777)
O (0.162, 0.325, 0.306)
O (0.162, 0.838, 0.306)
O (0.325, 0.162, 0.694)
O (0.675, 0.838, 0.306)
O (0.838, 0.162, 0.694)
O (0.838, 0.675, 0.694)

Properties
* SG: P-3m1, No. 164
* ρ: 5.46 g/cm³
* E_form (uncorrected): -1.526 eV/atom

No. 2
Computed, not measured: Ba2ZnCuO4 after structural relaxation at the GGA-PBE level of DFT.

a = 5.506 Å, b = 5.506 Å, c = 5.506 Å
α = 112.68°, β = 112.68°, γ = 103.23°
Positions (direct):
Ba (0.000, 0.000, 0.000)
Ba (0.750, 0.250, 0.500)
Zn (0.250, 0.750, 0.500)
Cu (0.500, 0.500, 0.000)
O (0.241, 0.137, 0.580)
O (0.338, 0.759, 0.896)
O (0.558, 0.662, 0.420)
O (0.863, 0.442, 0.104)

Properties
* SG: I-4, No. 82
* ρ: 6.10 g/cm³
* E_form (uncorrected): -1.673 eV/atom

No. 3
Computed, not measured: Ba3Zn2CuO6 after structural relaxation at the GGA-PBE level of DFT.

a = 5.999 Å, b = 5.999 Å, c = 6.812 Å
α = 90.00°, β = 90.00°, γ = 120.00°
Positions (direct):
Ba (0.000, 0.000, 0.000)
Ba (0.333, 0.667, 0.647)
Ba (0.667, 0.333, 0.353)
Zn (0.333, 0.667, 0.210)
Zn (0.667, 0.333, 0.790)
Cu (0.000, 0.000, 0.500)
O (0.162, 0.324, 0.309)
O (0.162, 0.838, 0.309)
O (0.324, 0.162, 0.691)
O (0.676, 0.838, 0.309)
O (0.838, 0.162, 0.691)
O (0.838, 0.676, 0.691)

Properties
* SG: P-3m1, No. 164
* ρ: 5.49 g/cm³
* E_form (uncorrected): -1.589 eV/atom

No. 4
Computed, not measured: Ba3ZrCu2O6 after structural relaxation at the GGA-PBE level of DFT.

a = 6.071 Å, b = 6.071 Å, c = 6.847 Å
α = 90.00°, β = 90.00°, γ = 120.00°
Positions (direct):
Ba (0.000, 0.000, 0.000)
Ba (0.333, 0.667, 0.653)
Ba (0.667, 0.333, 0.347)
Zr (0.000, 0.000, 0.500)
Cu (0.333, 0.667, 0.207)
Cu (0.667, 0.333, 0.793)
O (0.161, 0.322, 0.314)
O (0.161, 0.839, 0.314)
O (0.322, 0.161, 0.686)
O (0.678, 0.839, 0.314)
O (0.839, 0.161, 0.686)
O (0.839, 0.678, 0.686)

Properties
* SG: P-3m1, No. 164
* ρ: 5.52 g/cm³
* E_form (uncorrected): -2.101 eV/atom